{
  "formula": "DyTe2As",
  "functional": "PBE",
  "state": "optimized geometry",
  "raw_formation_energy_ev_per_atom": -0.047,
  "dos_at_fermi_per_ev_cell": 1.40,
  "cell": [[-3.737, -0.041, 1.537], [-2.534, -3.007, -0.930], [1.003, -5.908, 7.591]],
  "species": ["As", "Te", "Te", "Dy"],
  "frac_coords": [[0.500, 0.500, 0.500], [0.107, 0.107, 0.680], [0.893, 0.893, 0.320], [0.000, 0.000, 0.000]]
}


{
  "formula": "Dy3Te12As5",
  "functional": "PBE",
  "state": "optimized geometry",
  "raw_formation_energy_ev_per_atom": -0.386,
  "dos_at_fermi_per_ev_cell": 21.41,
  "cell": [[15.152, 0.000, 0.000], [-5.051, 14.286, 0.000], [-5.051, -7.143, 12.372]],
  "species": ["As", "As", "As", "As", "As", "As", "As", "As", "As", "As", "As", "As", "As", "As", "As", "As", "As", "As", "As", "As", "Te", "Te", "Te", "Te", "Te", "Te", "Te", "Te", "Te", "Te", "Te", "Te", "Te", "Te", "Te", "Te", "Te", "Te", "Te", "Te", "Te", "Te", "Te", "Te", "Te", "Te", "Te", "Te", "Te", "Te", "Te", "Te", "Te", "Te", "Te", "Te", "Te", "Te", "Te", "Te", "Te", "Te", "Te", "Te", "Te", "Te", "Te", "Te", "Dy", "Dy", "Dy", "Dy", "Dy", "Dy", "Dy", "Dy", "Dy", "Dy", "Dy", "Dy"],
  "frac_coords": [[0.125, 0.375, 0.250], [0.000, 0.500, 0.000], [0.000, 0.000, 0.000], [0.375, 0.250, 0.125], [0.500, 0.000, 0.500], [0.500, 0.500, 0.000], [0.125, 0.750, 0.375], [0.750, 0.125, 0.875], [0.750, 0.625, 0.375], [0.375, 0.125, 0.750], [0.625, 0.875, 0.250], [0.500, 0.500, 0.500], [0.500, 0.000, 0.000], [0.000, 0.000, 0.500], [0.250, 0.375, 0.625], [0.250, 0.875, 0.125], [0.000, 0.500, 0.500], [0.875, 0.250, 0.625], [0.625, 0.750, 0.875], [0.875, 0.625, 0.750], [0.716, 0.134, 0.046], [0.330, 0.546, 0.412], [0.954, 0.366, 0.284], [0.546, 0.216, 0.134], [0.582, 0.716, 0.670], [0.954, 0.588, 0.170], [0.330, 0.784, 0.418], [0.088, 0.918, 0.134], [0.588, 0.954, 0.670], [0.716, 0.582, 0.170], [0.784, 0.454, 0.366], [0.830, 0.912, 0.046], [0.134, 0.716, 0.546], [0.366, 0.412, 0.082], [0.082, 0.912, 0.366], [0.418, 0.134, 0.588], [0.082, 0.170, 0.216], [0.454, 0.670, 0.088], [0.830, 0.918, 0.284], [0.134, 0.418, 0.088], [0.366, 0.954, 0.784], [0.588, 0.634, 0.418], [0.912, 0.830, 0.546], [0.784, 0.330, 0.918], [0.412, 0.366, 0.582], [0.088, 0.170, 0.454], [0.216, 0.670, 0.082], [0.170, 0.082, 0.716], [0.634, 0.046, 0.216], [0.866, 0.582, 0.912], [0.546, 0.330, 0.912], [0.582, 0.866, 0.412], [0.918, 0.830, 0.784], [0.918, 0.088, 0.634], [0.866, 0.284, 0.454], [0.170, 0.088, 0.954], [0.634, 0.588, 0.918], [0.412, 0.046, 0.330], [0.284, 0.418, 0.830], [0.216, 0.546, 0.634], [0.912, 0.082, 0.866], [0.670, 0.216, 0.582], [0.454, 0.784, 0.866], [0.046, 0.412, 0.830], [0.418, 0.284, 0.330], [0.046, 0.634, 0.716], [0.670, 0.454, 0.588], [0.284, 0.866, 0.954], [0.750, 0.375, 0.125], [0.875, 0.750, 0.125], [0.375, 0.750, 0.625], [0.250, 0.125, 0.375], [0.875, 0.125, 0.250], [0.375, 0.625, 0.250], [0.625, 0.375, 0.750], [0.125, 0.875, 0.750], [0.750, 0.875, 0.625], [0.625, 0.250, 0.375], [0.125, 0.250, 0.875], [0.250, 0.625, 0.875]]
}


{
  "formula": "Dy3Te2As",
  "functional": "PBE",
  "state": "optimized geometry",
  "raw_formation_energy_ev_per_atom": -1.431,
  "dos_at_fermi_per_ev_cell": 5.22,
  "cell": [[-3.442, -4.293, 4.920], [4.092, -0.323, 6.268], [-4.813, 2.946, 4.741]],
  "species": ["Dy", "Dy", "Dy", "Dy", "Dy", "Dy", "Te", "Te", "Te", "Te", "As", "As"],
  "frac_coords": [[0.570, 0.225, 0.353], [0.718, 0.781, 0.000], [0.430, 0.775, 0.647], [0.076, 0.775, 0.353], [0.924, 0.225, 0.647], [0.282, 0.219, 0.000], [0.000, 0.000, 0.000], [0.500, 0.500, 0.000], [0.840, 0.500, 0.320], [0.160, 0.500, 0.680], [0.332, 0.000, 0.337], [0.668, 0.000, 0.663]]
}


{
  "formula": "Dy2TeAs",
  "functional": "PBE",
  "state": "optimized geometry",
  "raw_formation_energy_ev_per_atom": -1.493,
  "dos_at_fermi_per_ev_cell": 1.59,
  "cell": [[4.196, -0.001, -0.002], [-2.097, 3.634, 0.002], [-2.090, -1.215, 7.078]],
  "species": ["Dy", "Dy", "Te", "As"],
  "frac_coords": [[0.522, 0.261, 0.783], [0.478, 0.739, 0.217], [0.000, 0.500, 0.500], [0.000, 0.000, 0.000]]
}